(1)
A PBEsol-optimized structure of Cd5Cu3, computed with meta-GGA SCAN.

a = 4.3083 Å, b = 5.6168 Å, c = 5.6168 Å
α = 102.18°, β = 90.00°, γ = 90.00°
Element x y z (fractional)
Cd 0.0000 0.0000 0.0000
Cd 0.0000 0.5000 0.0000
Cd 0.0000 0.0000 0.5000
Cu 0.0000 0.5000 0.5000
Cu 0.5000 0.2354 0.7646
Cd 0.5000 0.7207 0.7207
Cu 0.5000 0.7646 0.2354
Cd 0.5000 0.2793 0.2793

## Properties
Space-group type: Cmmm
VASP energy (eV per formula unit): -196.933
Relative energy among the computed polymorphs (meV/atom): 33.3


(2)
A PBEsol-optimized structure of AsIr2Os, computed with meta-GGA SCAN.

a = 2.8265 Å, b = 3.9300 Å, c = 5.3621 Å
α = 90.00°, β = 105.28°, γ = 90.00°
Element x y z (fractional)
As 0.6811 0.5000 0.3621
Ir 0.0830 0.0000 0.1661
Ir 0.4417 0.5000 0.8835
Os 0.8264 0.0000 0.6527

## Properties
Space-group type: Amm2
VASP energy (eV per formula unit): -233.333


(3)
A PBEsol-optimized structure of CsGaBr4, computed with meta-GGA SCAN.

a = 7.3760 Å, b = 9.9976 Å, c = 12.1554 Å
α = 90.00°, β = 90.00°, γ = 90.00°
Element x y z (fractional)
Br 0.7500 0.3708 0.1186
Br 0.2500 0.6292 0.8814
Br 0.4941 0.3377 0.4085
Ga 0.7500 0.2978 0.9371
Br 0.5059 0.6623 0.5915
Ga 0.7500 0.2022 0.4371
Br 0.4941 0.1623 0.9085
Cs 0.7500 0.8446 0.8187
Br 0.0059 0.1623 0.9085
Ga 0.2500 0.7022 0.0629
Br 0.7500 0.4683 0.8065
Cs 0.7500 0.6554 0.3187
Br 0.9941 0.8377 0.0915
Br 0.0059 0.3377 0.4085
Cs 0.2500 0.3446 0.6813
Br 0.2500 0.9683 0.6935
Br 0.7500 0.0317 0.3065
Br 0.2500 0.8708 0.3814
Br 0.5059 0.8377 0.0915
Ga 0.2500 0.7978 0.5629
Cs 0.2500 0.1554 0.1813
Br 0.2500 0.5317 0.1935
Br 0.9941 0.6623 0.5915
Br 0.7500 0.1292 0.6186

## Properties
Space-group type: Pnma
Uncorrected formation energy (meV/atom): -1356
VASP energy (eV per formula unit): -140.128


(4)
A PBEsol-optimized structure of TbAlGe2O7, computed with meta-GGA SCAN.

a = 6.4905 Å, b = 7.1052 Å, c = 11.1809 Å
α = 83.54°, β = 90.00°, γ = 90.00°
Element x y z (fractional)
O 0.1189 0.2683 0.8101
Ge 0.9116 0.9225 0.2754
O 0.8315 0.0646 0.0251
O 0.6841 0.0353 0.3117
O 0.8159 0.5353 0.8117
Ge 0.5884 0.4225 0.7754
Ge 0.1582 0.2594 0.4549
O 0.5552 0.8399 0.8696
O 0.0552 0.6601 0.6304
Ge 0.6582 0.2406 0.0451
O 0.1685 0.9354 0.9749
O 0.3452 0.0885 0.4210
O 0.1548 0.5885 0.9210
Ge 0.8418 0.7406 0.5451
O 0.3159 0.9647 0.6883
O 0.1841 0.4647 0.1883
O 0.4963 0.3241 0.9223
O 0.3811 0.7683 0.3101
O 0.6548 0.9115 0.5790
O 0.8801 0.9383 0.7797
O 0.1199 0.0617 0.2203
O 0.5037 0.6759 0.0777
O 0.8811 0.7317 0.1899
O 0.4448 0.1601 0.1304
O 0.0037 0.8241 0.4223
O 0.9963 0.1759 0.5777
Al 0.5994 0.9801 0.7288
O 0.6199 0.4383 0.2797
Tb 0.6473 0.2658 0.4728
O 0.6189 0.2317 0.6899
Tb 0.3527 0.7342 0.5272
Tb 0.8527 0.7658 0.9728
Ge 0.3418 0.7594 0.9549
O 0.9448 0.3399 0.3696
Ge 0.4116 0.5775 0.2246
Al 0.9006 0.4801 0.2288
O 0.8452 0.4115 0.0790
O 0.3801 0.5617 0.7203
O 0.3315 0.4354 0.4749
Al 0.4006 0.0199 0.2712
O 0.6685 0.5646 0.5251
Tb 0.1473 0.2342 0.0272
Ge 0.0884 0.0775 0.7246
Al 0.0994 0.5199 0.7712

## Properties
Space-group type: P2_1/c
Uncorrected formation energy (meV/atom): -2678
VASP energy (eV per formula unit): -165.762